# 1
Crystalline LaYSb2 at its relaxed geometry. Source: Alexandria via LeMat-Bulk, functional PBE.

Cell lengths 10.5027, 10.5027, 10.5027 Å; angles 20.55, 20.55, 20.55 degrees
With the nearest neighbours (Å) after each atom.
Atoms (fractional coordinates):
La  0.0000  0.0000  0.0000  3 Sb 3.36, 6 La 3.75
Y  0.7667  0.7667  0.7667  3 Sb 3.21
Sb  0.2500  0.2500  0.2500  3 Sb 3.12, 3 La 3.36
Sb  0.5103  0.5103  0.5103  3 Sb 3.12, 3 Y 3.21

Results
Space-group type: R3m (160)
Theoretical density, g/cm³: 6.3
Calculated total energy, eV per formula unit: -20.219
Uncorrected formation energy, kJ per mole of atoms: -14
Polymorph energy (0 for the lowest one), meV per atom: 1073

---

# 2
Crystalline Hf4CuSi3 at its relaxed geometry. Source: Alexandria via LeMat-Bulk, functional PBE.

Cell lengths 3.7085, 3.7373, 9.9673 Å; angles 90.00, 90.00, 90.00 degrees
With the nearest neighbours (Å) after each atom.
Atoms (fractional coordinates):
Hf  0.0000  0.0000  0.0000  6 Si 2.71-2.91, 1 Cu 2.80
Hf  0.0000  0.5000  0.2934  7 Si 2.72-2.93
Hf  0.5000  0.0000  0.4963  5 Si 2.70-2.74, 2 Cu 2.89
Hf  0.5000  0.5000  0.7948  3 Si 2.70-2.89, 4 Cu 2.74
Cu  0.0000  0.0000  0.7191  2 Si 2.37
Si  0.0000  0.5000  0.5727  2 Cu 2.37
Si  0.5000  0.0000  0.2256  2 Si 2.46, 5 Hf 2.70-2.72
Si  0.5000  0.5000  0.0658  2 Si 2.46, 5 Hf 2.70-2.71

Results
Space-group type: Pmm2 (25)
Theoretical density, g/cm³: 10.4
Calculated total energy, eV per formula unit: -65.668
Uncorrected formation energy, kJ per mole of atoms: -66

---

# 3
Crystalline TbPm6Dy12 at its relaxed geometry. Source: Alexandria via LeMat-Bulk, functional PBE.

Cell lengths 8.7320, 8.7320, 8.7320 Å; angles 98.69, 98.69, 98.69 degrees
With the nearest neighbours (Å) after each atom.
Atoms (fractional coordinates):
Tb  0.0000  0.0000  0.0000  6 Pm 3.43
Pm  0.0969  0.0969  0.6566  1 Pm 3.09, 1 Tb 3.43
Pm  0.0969  0.6566  0.0969  1 Pm 3.09, 1 Tb 3.43
Pm  0.3434  0.9031  0.9031  1 Pm 3.09, 1 Tb 3.43
Pm  0.6566  0.0969  0.0969  1 Pm 3.09, 1 Tb 3.43
Pm  0.9031  0.3434  0.9031  1 Pm 3.09, 1 Tb 3.43
Pm  0.9031  0.9031  0.3434  1 Pm 3.09, 1 Tb 3.43
Dy  0.0824  0.3556  0.3556  6 Dy 3.35-3.62, 2 Pm 3.72
Dy  0.2424  0.5000  0.7576  6 Dy 3.35-3.54, 4 Pm 3.49-3.56
Dy  0.2424  0.7576  0.5000  6 Dy 3.35-3.54, 4 Pm 3.49-3.56
Dy  0.3556  0.0824  0.3556  6 Dy 3.35-3.62, 2 Pm 3.72
Dy  0.3556  0.3556  0.0824  6 Dy 3.35-3.62, 2 Pm 3.72
Dy  0.5000  0.2424  0.7576  6 Dy 3.35-3.54, 4 Pm 3.49-3.56
Dy  0.5000  0.7576  0.2424  6 Dy 3.35-3.54, 4 Pm 3.49-3.56
Dy  0.6444  0.6444  0.9176  6 Dy 3.35-3.62, 2 Pm 3.72
Dy  0.6444  0.9176  0.6444  6 Dy 3.35-3.62, 2 Pm 3.72
Dy  0.7576  0.2424  0.5000  6 Dy 3.35-3.54, 4 Pm 3.49-3.56
Dy  0.7576  0.5000  0.2424  6 Dy 3.35-3.54, 4 Pm 3.49-3.56
Dy  0.9176  0.6444  0.6444  6 Dy 3.35-3.62, 2 Pm 3.72

Results
Space-group type: R-3m (166)
Theoretical density, g/cm³: 7.7
Calculated total energy, eV per formula unit: -84.326
Polymorph energy (0 for the lowest one), meV per atom: 91

---

# 4
Crystalline BaBrCl2 at its relaxed geometry. Source: Alexandria via LeMat-Bulk, functional PBE.

Cell lengths 5.0661, 5.0661, 4.6550 Å; angles 98.57, 98.57, 89.39 degrees
With the nearest neighbours (Å) after each atom.
Atoms (fractional coordinates):
Ba  0.0000  0.0000  0.0000  4 Cl 3.17
Br  0.5000  0.5000  0.0000  4 Cl 3.17
Cl  0.0000  0.5000  0.5000  2 Ba 3.17, 2 Br 3.17
Cl  0.5000  0.0000  0.5000  2 Ba 3.17, 2 Br 3.17

Results
Space-group type: C2/m (12)
Theoretical density, g/cm³: 4.1
Calculated total energy, eV per formula unit: -13.606
Uncorrected formation energy, kJ per mole of atoms: -152
Polymorph energy (0 for the lowest one), meV per atom: 124

---

# 5
Crystalline BaRe2As at its relaxed geometry. Source: Alexandria via LeMat-Bulk, functional PBE.

Cell lengths 4.4472, 4.4472, 6.5972 Å; angles 109.64, 109.64, 59.88 degrees
With the nearest neighbours (Å) after each atom.
Atoms (fractional coordinates):
Ba  0.0000  0.0000  0.0000  2 Re 3.24
Re  0.1796  0.1796  0.5330  3 As 2.56-2.58, 3 Re 2.58-2.63
Re  0.8204  0.8204  0.4670  3 As 2.56-2.58, 3 Re 2.58-2.63
As  0.5000  0.5000  0.5000  6 Re 2.56-2.58

Results
Space-group type: C2/m (12)
Theoretical density, g/cm³: 9.3
Calculated total energy, eV per formula unit: -30.637

---

# 6
Crystalline SrCaSb2I at its relaxed geometry. Source: Alexandria via LeMat-Bulk, functional PBE.

Cell lengths 6.1560, 6.1560, 5.7564 Å; angles 90.00, 90.00, 90.00 degrees
With the nearest neighbours (Å) after each atom.
Atoms (fractional coordinates):
Sr  0.0000  0.0000  0.0000  2 I 2.88
Ca  0.5000  0.5000  0.0000  8 Sb 4.21, 4 Sr 4.35
Sb  0.0000  0.5000  0.5000  2 I 3.08
Sb  0.5000  0.0000  0.5000  2 I 3.08
I  0.0000  0.0000  0.5000  2 Sr 2.88, 4 Sb 3.08

Results
Space-group type: P4/mmm (123)
Theoretical density, g/cm³: 3.8
Calculated total energy, eV per formula unit: -13.029
Uncorrected formation energy, kJ per mole of atoms: 9
Polymorph energy (0 for the lowest one), meV per atom: 475

---

# 7
Crystalline PAuC at its relaxed geometry. Source: Alexandria via LeMat-Bulk, functional PBE.

Cell lengths 2.8820, 3.9302, 5.5122 Å; angles 89.53, 74.88, 82.74 degrees
With the nearest neighbours (Å) after each atom.
Atoms (fractional coordinates):
P  0.0000  0.0000  0.0000  2 C 1.72
Au  0.7828  0.9997  0.4344  1 C 2.07, 1 P 2.31
C  0.5880  0.9997  0.8239  2 P 1.72

Results
Space-group type: P1 (1)
Theoretical density, g/cm³: 6.7
Calculated total energy, eV per formula unit: -16.522
Polymorph energy (0 for the lowest one), meV per atom: 256

---

# 8
Crystalline Co3NiP at its relaxed geometry. Source: Alexandria via LeMat-Bulk, functional PBE.

Cell lengths 4.2432, 4.2432, 4.2432 Å; angles 90.00, 90.00, 90.00 degrees
With the nearest neighbours (Å) after each atom.
Atoms (fractional coordinates):
Co  0.0000  0.0000  0.5000  2 Ni 2.12
Co  0.0000  0.5000  0.0000  2 Ni 2.12
Co  0.5000  0.0000  0.0000  2 Ni 2.12
Ni  0.0000  0.0000  0.0000  6 Co 2.12
P  0.5000  0.5000  0.5000  12 Co 3.00

Results
Space-group type: Pm-3m (221)
Theoretical density, g/cm³: 5.8
Calculated total energy, eV per formula unit: -26.529
Polymorph energy (0 for the lowest one), meV per atom: 747

---

# 9
Crystalline SnBrF at its relaxed geometry. Source: Alexandria via LeMat-Bulk, functional PBE.

Cell lengths 6.2981, 4.4689, 6.4297 Å; angles 90.00, 107.44, 90.00 degrees
With the nearest neighbours (Å) after each atom.
Atoms (fractional coordinates):
Sn  0.1327  0.2500  0.2537  3 F 2.28-2.41
Sn  0.8673  0.7500  0.7463  3 F 2.28-2.41
Br  0.2727  0.7500  0.6736  1 Sn 2.73
Br  0.7273  0.2500  0.3264  1 Sn 2.73
F  0.0487  0.7500  0.1115  3 Sn 2.28-2.41
F  0.9513  0.2500  0.8885  3 Sn 2.28-2.41

Results
Space-group type: P2_1/m (11)
Theoretical density, g/cm³: 4.2
Calculated total energy, eV per formula unit: -12.135
Uncorrected formation energy, kJ per mole of atoms: -148

---

# 10
Crystalline PrTh2ReC4 at its relaxed geometry. Source: Alexandria via LeMat-Bulk, functional PBE.

Cell lengths 6.4885, 6.4885, 12.7580 Å; angles 90.00, 90.00, 147.32 degrees
With the nearest neighbours (Å) after each atom.
Atoms (fractional coordinates):
Pr  0.0978  0.9022  0.7500  6 C 2.92-2.97
Pr  0.9022  0.0978  0.2500  6 C 2.92-2.97
Th  0.3682  0.6318  0.5401  6 C 2.51-2.73
Th  0.3682  0.6318  0.9599  6 C 2.51-2.73
Th  0.6318  0.3682  0.0401  6 C 2.51-2.73
Th  0.6318  0.3682  0.4599  6 C 2.51-2.73
Re  0.1683  0.8317  0.2500  4 C 1.91-2.07
Re  0.8317  0.1683  0.7500  4 C 1.91-2.07
C  0.0000  0.0000  0.0000  4 Th 2.51
C  0.0000  0.0000  0.5000  4 Th 2.51
C  0.2642  0.7358  0.1329  1 Re 1.91
C  0.2642  0.7358  0.3671  1 Re 1.91
C  0.4092  0.5908  0.7500  2 Re 2.07
C  0.5908  0.4092  0.2500  2 Re 2.07
C  0.7358  0.2642  0.6329  1 Re 1.91
C  0.7358  0.2642  0.8671  1 Re 1.91

Results
Space-group type: Cmcm (63)
Theoretical density, g/cm³: 9.6
Calculated total energy, eV per formula unit: -69.422

---

# 11
Crystalline Si2SN2 at its relaxed geometry. Source: Alexandria via LeMat-Bulk, functional PBE.

Cell lengths 6.6896, 6.6896, 5.3420 Å; angles 111.94, 111.94, 63.50 degrees
With the nearest neighbours (Å) after each atom.
Atoms (fractional coordinates):
Si  0.0727  0.3957  0.5344  2 N 1.60-1.75
Si  0.1608  0.8392  0.0000  2 N 1.62-1.78
Si  0.3957  0.0727  0.5344  2 N 1.60-1.75
Si  0.8392  0.1608  0.0000  2 N 1.62-1.78
S  0.1423  0.1423  0.8696  2 Si 2.32
S  0.5528  0.5528  0.3987  2 N 1.73
N  0.1311  0.6175  0.7464  2 Si 1.60-1.62
N  0.4017  0.8081  0.2940  1 S 1.73, 2 Si 1.75-1.78
N  0.6175  0.1311  0.7464  2 Si 1.60-1.62
N  0.8081  0.4017  0.2940  1 S 1.73, 2 Si 1.75-1.78

Results
Space-group type: Cm (8)
Theoretical density, g/cm³: 2.0
Calculated total energy, eV per formula unit: -32.037
Uncorrected formation energy, kJ per mole of atoms: -8

---

# 12
Crystalline Tb2Er3Cd2 at its relaxed geometry. Source: Alexandria via LeMat-Bulk, functional PBE.

Cell lengths 5.3565, 5.3565, 8.4994 Å; angles 108.31, 108.31, 59.92 degrees
With the nearest neighbours (Å) after each atom.
Atoms (fractional coordinates):
Tb  0.0743  0.0743  0.2241  4 Cd 3.27-3.28, 3 Er 3.44-3.45, 1 Tb 3.55
Tb  0.9257  0.9257  0.7759  4 Cd 3.27-3.28, 3 Er 3.44-3.45, 1 Tb 3.55
Er  0.3443  0.3443  0.0325  1 Cd 3.13, 3 Er 3.13, 3 Tb 3.44-3.45
Er  0.5000  0.5000  0.5000  6 Cd 3.28
Er  0.6557  0.6557  0.9675  1 Cd 3.13, 3 Er 3.13, 3 Tb 3.44-3.45
Cd  0.2127  0.2127  0.6374  4 Er 3.13-3.28, 4 Tb 3.27-3.28
Cd  0.7873  0.7873  0.3626  4 Er 3.13-3.28, 4 Tb 3.27-3.28

Results
Space-group type: C2/m (12)
Theoretical density, g/cm³: 8.8
Calculated total energy, eV per formula unit: -25.826
Polymorph energy (0 for the lowest one), meV per atom: 0